CsNdBi2: optimized geometry, PBE-GGA.

For the offset from the most stable computed form, the calculation gives 0.0 kJ per mole of atoms. As for the formation energy: -0.561 eV/atom. The total magnetization is 0.000 μB/cell. As for the space group: P4/mmm. The calculation puts the final energy at -0.14358 hartree per atom.

Cell: 4.3714 4.3714 8.3599 Å, 90.00 90.00 90.00°
Fractional positions:
Cs  0.5000  0.5000  0.5000
Nd  0.5000  0.5000  0.0000
Bi  0.0000  0.0000  0.8167
Bi  0.0000  0.0000  0.1833

=====

CsNdBi2: optimized geometry, PBE-GGA.

For the offset from the most stable computed form, the calculation gives 15.7 kJ per mole of atoms. As for the formation energy: -0.398 eV/atom. The total magnetization is 0.000 μB/cell. As for the space group: R-3m. The calculation puts the final energy at -0.13759 hartree per atom.

Cell: 4.6703 4.6703 9.7940 Å, 76.21 76.21 60.00°
Fractional positions:
Cs  0.5000  0.5000  0.5000
Nd  0.0000  0.0000  0.0000
Bi  0.2695  0.2695  0.1914
Bi  0.7305  0.7305  0.8086

=====

Cs3NdBi2O8: optimized geometry, PBE-GGA.

The total magnetization is 0.121 μB/cell. As for the space group: P-3m1. The calculation puts the final energy at -0.19894 hartree per atom.

Cell: 6.5830 6.5830 8.5714 Å, 90.00 90.00 120.00°
Fractional positions:
Cs  0.3333  0.6667  0.6881
Cs  0.6667  0.3333  0.3119
Cs  0.0000  0.0000  0.0000
Nd  0.0000  0.0000  0.5000
Bi  0.3333  0.6667  0.2449
Bi  0.6667  0.3333  0.7551
O  0.3333  0.6667  0.0120
O  0.6667  0.3333  0.9880
O  0.1669  0.8331  0.3363
O  0.8331  0.1669  0.6637
O  0.1669  0.3339  0.3363
O  0.8331  0.6661  0.6637
O  0.6661  0.8331  0.3363
O  0.3339  0.1669  0.6637

=====

Cs2Nd2BiO6: optimized geometry, PBE-GGA.

The total magnetization is 0.813 μB/cell. As for the space group: C2/m. The calculation puts the final energy at -0.22793 hartree per atom.

Cell: 6.2737 6.2737 7.3682 Å, 97.80 97.80 119.84°
Fractional positions:
Cs  0.8344  0.1656  0.0000
Cs  0.1656  0.8344  0.0000
Nd  0.3345  0.6655  0.5000
Nd  0.6655  0.3345  0.5000
Bi  0.0000  0.0000  0.5000
O  0.7354  0.7354  0.6633
O  0.0469  0.3753  0.6619
O  0.2646  0.2646  0.3367
O  0.3753  0.0469  0.6619
O  0.9531  0.6247  0.3381
O  0.6247  0.9531  0.3381

=====

Cs2NdBi2O6: optimized geometry, PBE-GGA.

The total magnetization is 0.000 μB/cell. As for the space group: C2/m. The calculation puts the final energy at -0.20604 hartree per atom.

Cell: 6.6267 6.6095 8.9901 Å, 113.19 90.00 120.09°
Fractional positions:
Cs  0.7670  0.5340  0.3169
Cs  0.2330  0.4660  0.6831
Nd  0.5000  0.0000  0.5000
Bi  0.9336  0.8673  0.7771
Bi  0.0664  0.1327  0.2229
O  0.7313  0.4625  0.6562
O  0.2656  0.0481  0.3349
O  0.2176  0.9519  0.6651
O  0.7344  0.9519  0.6651
O  0.7824  0.0481  0.3349
O  0.2687  0.5375  0.3438

=====

Cs2NdBiS4: optimized geometry, PBE-GGA.

The total magnetization is 0.000 μB/cell. As for the space group: Imma. The calculation puts the final energy at -0.16817 hartree per atom.

Cell: 8.9087 8.9087 8.8539 Å, 119.80 119.80 90.01°
Fractional positions:
Cs  0.5000  0.0000  0.0000
Cs  0.5000  0.0000  0.5000
Cs  0.0000  0.0000  0.5000
Cs  0.5000  0.5000  0.0000
Nd  0.0000  0.5000  0.0000
Nd  0.0000  0.5000  0.5000
Bi  0.5000  0.5000  0.5000
Bi  0.0000  0.0000  0.0000
S  0.1890  0.7284  0.9587
S  0.7716  0.3110  0.5413
S  0.2284  0.6890  0.4587
S  0.8110  0.2716  0.0413
S  0.7702  0.7298  0.9617
S  0.7702  0.7298  0.5383
S  0.2298  0.2702  0.4617
S  0.2298  0.2702  0.0383

=====

Cs4Nd3BiS8: optimized geometry, PBE-GGA.

The total magnetization is 0.000 μB/cell. As for the space group: R-3m. The calculation puts the final energy at -0.18237 hartree per atom.

Cell: 8.4945 9.4604 8.4949 Å, 116.69 120.00 90.00°
Fractional positions:
Cs  0.5000  0.0000  0.0000
Cs  0.5000  0.0000  0.5000
Cs  0.0000  0.0000  0.0000
Cs  0.0000  0.0000  0.5000
Nd  0.5000  0.5000  0.0000
Nd  0.5000  0.5000  0.5000
Nd  0.0000  0.5000  0.5000
Bi  0.0000  0.5000  0.0000
S  0.2291  0.6874  0.9584
S  0.2291  0.6874  0.4582
S  0.2711  0.3136  0.5423
S  0.7293  0.6874  0.9584
S  0.2707  0.3126  0.0415
S  0.7289  0.6864  0.4577
S  0.7709  0.3126  0.5418
S  0.7709  0.3126  0.0415

=====

Cs3Nd3BiS8: optimized geometry, PBE-GGA.

The total magnetization is 0.000 μB/cell. As for the space group: R-3m. The calculation puts the final energy at -0.18575 hartree per atom.

Cell: 8.3672 8.3670 9.5640 Å, 115.96 89.99 120.00°
Fractional positions:
Cs  0.0000  0.0000  0.0000
Cs  0.0000  0.5000  0.0000
Cs  0.5000  0.5000  0.0000
Nd  0.5000  0.0000  0.5000
Nd  0.5000  0.5000  0.5000
Nd  0.0000  0.5000  0.5000
Bi  0.0000  0.0000  0.5000
S  0.2719  0.5437  0.3158
S  0.7281  0.4563  0.6842
S  0.7775  0.5549  0.3177
S  0.2225  0.4451  0.6823
S  0.7775  0.0402  0.3178
S  0.2225  0.9598  0.6822
S  0.2627  0.0402  0.3178
S  0.7373  0.9598  0.6822

=====

Cs4Nd3BiSe8: optimized geometry, PBE-GGA.

The total magnetization is 0.000 μB/cell. As for the space group: R-3m. The calculation puts the final energy at -0.16842 hartree per atom.

Cell: 8.8071 9.8195 8.8067 Å, 116.65 120.00 90.00°
Fractional positions:
Cs  0.5000  0.0000  0.0000
Cs  0.5000  0.0000  0.5000
Cs  0.0000  0.0000  0.0000
Cs  0.0000  0.0000  0.5000
Nd  0.5000  0.5000  0.0000
Nd  0.5000  0.5000  0.5000
Nd  0.0000  0.5000  0.5000
Bi  0.0000  0.5000  0.0000
Se  0.2304  0.6908  0.9606
Se  0.2304  0.6908  0.4608
Se  0.2697  0.3094  0.5395
Se  0.7302  0.6908  0.9606
Se  0.2698  0.3092  0.0394
Se  0.7303  0.6906  0.4605
Se  0.7696  0.3092  0.5392
Se  0.7696  0.3092  0.0394

=====

CsNdBiSe3: optimized geometry, PBE-GGA.

The total magnetization is 0.000 μB/cell. As for the space group: Cmcm. The calculation puts the final energy at -0.16170 hartree per atom.

Cell: 4.6814 8.7628 12.1879 Å, 90.00 90.00 105.49°
Fractional positions:
Cs  0.7062  0.4124  0.7500
Cs  0.2938  0.5876  0.2500
Nd  0.0000  0.0000  0.5000
Nd  0.0000  0.0000  0.0000
Bi  0.4133  0.8265  0.7500
Bi  0.5867  0.1735  0.2500
Se  0.6127  0.2254  0.4889
Se  0.3873  0.7746  0.5111
Se  0.3873  0.7746  0.9889
Se  0.6127  0.2254  0.0111
Se  0.0044  0.0087  0.7500
Se  0.9956  0.9913  0.2500

=====

Cs3NdBi2Se6: optimized geometry, PBE-GGA.

The total magnetization is 0.000 μB/cell. As for the space group: C2/m. The calculation puts the final energy at -0.15058 hartree per atom.

Cell: 7.6211 7.6211 8.7587 Å, 98.34 98.34 119.99°
Fractional positions:
Cs  0.1672  0.8328  0.5000
Cs  0.8328  0.1672  0.5000
Cs  0.5000  0.5000  0.5000
Nd  0.0000  0.0000  0.0000
Bi  0.3335  0.6665  0.0000
Bi  0.6665  0.3335  0.0000
Se  0.9362  0.6022  0.8086
Se  0.7297  0.7297  0.1913
Se  0.0638  0.3978  0.1914
Se  0.6022  0.9362  0.8086
Se  0.2703  0.2703  0.8087
Se  0.3978  0.0638  0.1914

=====

Cs2NdBiSe4: optimized geometry, PBE-GGA.

The total magnetization is 0.000 μB/cell. As for the space group: Imma. The calculation puts the final energy at -0.15543 hartree per atom.

Cell: 9.2502 9.2502 9.1875 Å, 119.77 119.77 90.01°
Fractional positions:
Cs  0.5000  0.0000  0.0000
Cs  0.5000  0.0000  0.5000
Cs  0.0000  0.0000  0.5000
Cs  0.5000  0.5000  0.0000
Nd  0.0000  0.5000  0.0000
Nd  0.0000  0.5000  0.5000
Bi  0.5000  0.5000  0.5000
Bi  0.0000  0.0000  0.0000
Se  0.1924  0.7297  0.9610
Se  0.7703  0.3076  0.5390
Se  0.2297  0.6924  0.4610
Se  0.8076  0.2703  0.0390
Se  0.7692  0.7308  0.9635
Se  0.7692  0.7308  0.5365
Se  0.2308  0.2692  0.4635
Se  0.2308  0.2692  0.0365

=====

Cs3Nd3BiSe8: optimized geometry, PBE-GGA.

The total magnetization is 0.000 μB/cell. As for the space group: C2/m. The calculation puts the final energy at -0.17090 hartree per atom.

Cell: 8.6580 8.6660 9.9455 Å, 115.89 90.00 119.97°
Fractional positions:
Cs  0.0000  0.0000  0.0000
Cs  0.0000  0.5000  0.0000
Cs  0.5000  0.5000  0.0000
Nd  0.5000  0.0000  0.5000
Nd  0.5000  0.5000  0.5000
Nd  0.0000  0.5000  0.5000
Bi  0.0000  0.0000  0.5000
Se  0.2699  0.5398  0.3100
Se  0.7301  0.4602  0.6900
Se  0.7728  0.5456  0.3123
Se  0.2272  0.4544  0.6877
Se  0.7729  0.0393  0.3125
Se  0.2271  0.9607  0.6875
Se  0.2664  0.0393  0.3125
Se  0.7336  0.9607  0.6875

=====

Cs2Nd2Bi2Se: optimized geometry, PBE-GGA.

The total magnetization is 0.000 μB/cell. As for the space group: I4/mmm. The calculation puts the final energy at -0.15226 hartree per atom.

Cell: 5.6504 5.6504 10.6499 Å, 105.38 105.38 90.00°
Fractional positions:
Cs  0.1840  0.1840  0.3680
Cs  0.8160  0.8160  0.6320
Nd  0.0000  0.5000  0.0000
Nd  0.5000  0.0000  0.0000
Bi  0.3958  0.3958  0.7917
Bi  0.6042  0.6042  0.2083
Se  0.0000  0.0000  0.0000

=====

Cs3NdBi2Te6: optimized geometry, PBE-GGA.

The total magnetization is 0.000 μB/cell. As for the space group: C2/m. The calculation puts the final energy at -0.13634 hartree per atom.

Cell: 8.0982 8.0982 9.3342 Å, 98.32 98.32 119.99°
Fractional positions:
Cs  0.1663  0.8337  0.5000
Cs  0.8337  0.1663  0.5000
Cs  0.5000  0.5000  0.5000
Nd  0.0000  0.0000  0.0000
Bi  0.3334  0.6666  0.0000
Bi  0.6666  0.3334  0.0000
Te  0.9356  0.5995  0.8069
Te  0.7282  0.7282  0.1928
Te  0.0644  0.4005  0.1931
Te  0.5995  0.9356  0.8069
Te  0.2718  0.2718  0.8072
Te  0.4005  0.0644  0.1931

=====

Cs3Nd3BiTe8: optimized geometry, PBE-GGA.

The total magnetization is 0.000 μB/cell. As for the space group: C2/m. The calculation puts the final energy at -0.15374 hartree per atom.

Cell: 9.1459 9.1630 10.6294 Å, 115.64 90.00 119.94°
Fractional positions:
Cs  0.0000  0.0000  0.0000
Cs  0.0000  0.5000  0.0000
Cs  0.5000  0.5000  0.0000
Nd  0.5000  0.0000  0.5000
Nd  0.5000  0.5000  0.5000
Nd  0.0000  0.5000  0.5000
Bi  0.0000  0.0000  0.5000
Te  0.2677  0.5355  0.3036
Te  0.7323  0.4645  0.6964
Te  0.7685  0.5371  0.3067
Te  0.2315  0.4629  0.6933
Te  0.7687  0.0379  0.3069
Te  0.2313  0.9621  0.6931
Te  0.2692  0.0379  0.3069
Te  0.7308  0.9621  0.6931

=====

Cs2NiBi: optimized geometry, PBE-GGA.

For the offset from the most stable computed form, the calculation gives 60.2 kJ per mole of atoms. As for the formation energy: 0.646 eV/atom. The total magnetization is 1.908 μB/cell. As for the space group: Fm-3m. The calculation puts the final energy at -0.08071 hartree per atom.

Cell: 6.1322 6.1322 6.1322 Å, 60.00 60.00 60.00°
Fractional positions:
Cs  0.2500  0.2500  0.2500
Cs  0.7500  0.7500  0.7500
Ni  0.0000  0.0000  0.0000
Bi  0.5000  0.5000  0.5000

=====

Cs2NiBi: optimized geometry, PBE-GGA.

For the offset from the most stable computed form, the calculation gives 0.0 kJ per mole of atoms. As for the formation energy: 0.022 eV/atom. The total magnetization is 0.000 μB/cell. As for the space group: I-42d. The calculation puts the final energy at -0.10363 hartree per atom.

Cell: 9.8303 9.8303 9.8303 Å, 93.61 93.61 150.92°
Fractional positions:
Cs  0.6936  0.3750  0.8186
Cs  0.5564  0.8750  0.1814
Cs  0.1250  0.3064  0.6814
Cs  0.6250  0.4436  0.3186
Ni  0.5000  0.5000  0.0000
Ni  0.7500  0.2500  0.5000
Bi  0.0000  0.0000  0.0000
Bi  0.2500  0.7500  0.5000

=====

CsNi3Bi: optimized geometry, PBE-GGA.

As for the formation energy: 1.761 eV/atom. The total magnetization is 0.000 μB/cell. As for the space group: Pm-3m. The calculation puts the final energy at -0.09756 hartree per atom.

Cell: 4.8634 4.8634 4.8634 Å, 90.00 90.00 90.00°
Fractional positions:
Cs  0.0000  0.0000  0.0000
Ni  0.0000  0.5000  0.0000
Ni  0.0000  0.0000  0.5000
Ni  0.5000  0.0000  0.0000
Bi  0.5000  0.5000  0.5000

=====

CsNiBi2: optimized geometry, PBE-GGA.

As for the formation energy: 0.098 eV/atom. The total magnetization is 0.000 μB/cell. As for the space group: P4/mmm. The calculation puts the final energy at -0.12867 hartree per atom.

Cell: 3.5511 3.5511 9.3043 Å, 90.00 90.00 90.00°
Fractional positions:
Cs  0.5000  0.5000  0.5000
Ni  0.5000  0.5000  0.0000
Bi  0.0000  0.0000  0.8325
Bi  0.0000  0.0000  0.1675